(1)
Density functional theory data (PBE) for a relaxed structure of Nb2PdS.

## Properties
Formation energy (no corrections): 0.0112 eV per atom

Unit cell a=2.9881 b=2.9881 c=26.9010 alpha=90.00 beta=90.00 gamma=120.00
Space group R-3m (No. 166, hexagonal axes)
One atom of each set of equivalent atoms:
1 Nb 0.0000 0.0000 0.0955
2 Pd 0.0000 0.0000 0.0000
3 S 0.0000 0.0000 0.5000

---

(2)
Density functional theory data (PBE) for a relaxed structure of Pr2YTm9.

## Properties
DFT total energy: -4.610 eV per atom

Unit cell a=11.1832 b=11.1832 c=3.4850 alpha=90.00 beta=90.00 gamma=120.00
Space group P6/mmm (No. 191)
One atom of each set of equivalent atoms:
1 Pr 0.3333 0.6667 0.0000
2 Y 0.0000 0.0000 0.0000
3 Tm 0.0000 0.5000 0.0000
4 Tm 0.1741 0.3482 0.5000

---

(3)
Density functional theory data (PBE) for a relaxed structure of HoMnP2Ru.

## Properties
DFT total energy: -7.731 eV per atom

Unit cell a=3.9937 b=3.9937 c=9.4144 alpha=90.00 beta=90.00 gamma=90.00
Space group I-4m2 (No. 119)
One atom of each set of equivalent atoms:
1 Ho 0.0000 0.0000 0.0000
2 Mn 0.0000 0.5000 0.2500
3 P 0.0000 0.0000 0.3702
4 Ru 0.0000 0.5000 0.7500

---

(4)
Density functional theory data (PBE) for a relaxed structure of GaSb2TeS.

## Properties
Formation energy (no corrections): 0.7600 eV per atom

Unit cell a=5.3406 b=5.3406 c=5.2018 alpha=90.00 beta=90.00 gamma=90.00
Space group P4/mmm (No. 123)
One atom of each set of equivalent atoms:
1 Ga 0.0000 0.0000 0.0000
2 Sb 0.0000 0.5000 0.0000
3 Te 0.0000 0.0000 0.5000
4 S 0.5000 0.5000 0.5000